Entry 1:
{
  "formula": "La2HoCd6",
  "functional": "PBE",
  "state": "relaxed",
  "lattice_angstrom": [[8.833, 0.000, 0.000], [-4.416, 7.649, 0.000], [0.000, 0.000, 3.469]],
  "species": ["La", "La", "Ho", "Cd", "Cd", "Cd", "Cd", "Cd", "Cd"],
  "frac_coords": [[0.333, 0.667, 0.000], [0.667, 0.333, 0.000], [0.000, 0.000, 0.000], [0.000, 0.328, 0.500], [0.000, 0.672, 0.500], [0.328, 0.000, 0.500], [0.328, 0.328, 0.500], [0.672, 0.000, 0.500], [0.672, 0.672, 0.500]],
  "spacegroup": "P6/mmm",
  "delta_e_f_ev_per_atom": -0.34,
  "n_ef_per_ev_atom": 0.84
}

---

Entry 2:
{
  "formula": "BaTc2Mo",
  "functional": "PBE",
  "state": "relaxed",
  "lattice_angstrom": [[1.665, -2.450, 0.000], [1.665, 2.450, 0.000], [0.000, 0.000, 9.593]],
  "species": ["Ba", "Tc", "Tc", "Mo"],
  "frac_coords": [[0.000, 0.000, 0.000], [0.500, 0.500, 0.297], [0.500, 0.500, 0.703], [0.000, 0.000, 0.500]],
  "spacegroup": "Cmmm",
  "delta_e_f_ev_per_atom": 0.84,
  "n_ef_per_ev_atom": 1.29
}

---

Entry 3:
{
  "formula": "Ho4GaOs",
  "functional": "PBE",
  "state": "relaxed",
  "lattice_angstrom": [[4.427, -6.566, 0.000], [4.427, 6.566, 0.000], [-2.933, 0.000, 5.398]],
  "species": ["Ho", "Ho", "Ho", "Ho", "Ho", "Ho", "Ho", "Ho", "Ga", "Ga", "Os", "Os"],
  "frac_coords": [[0.056, 0.708, 0.919], [0.221, 0.355, 0.692], [0.292, 0.944, 0.581], [0.355, 0.221, 0.192], [0.645, 0.779, 0.808], [0.708, 0.056, 0.419], [0.779, 0.645, 0.308], [0.944, 0.292, 0.081], [0.369, 0.631, 0.250], [0.631, 0.369, 0.750], [0.000, 0.000, 0.250], [0.000, 0.000, 0.750]],
  "spacegroup": "C2/c",
  "delta_e_f_ev_per_atom": -0.37,
  "n_ef_per_ev_atom": 1.02
}

---

Entry 4:
{
  "formula": "Ba2CaSb",
  "functional": "PBE",
  "state": "relaxed",
  "lattice_angstrom": [[-2.622, 2.622, 5.882], [2.622, -2.622, 5.882], [2.622, 2.622, -5.882]],
  "species": ["Ba", "Ba", "Ca", "Sb"],
  "frac_coords": [[0.000, 0.000, 0.000], [0.750, 0.250, 0.500], [0.250, 0.750, 0.500], [0.500, 0.500, 0.000]],
  "e_form_raw_ev_per_atom": -0.4164,
  "spacegroup": "I-4m2",
  "n_ef_per_ev_atom": 1.00
}

---

Entry 5:
{
  "formula": "MgMnFe2P",
  "functional": "PBE",
  "state": "relaxed",
  "lattice_angstrom": [[4.441, 0.000, 0.000], [0.000, 4.441, 0.000], [0.000, 0.000, 4.686]],
  "species": ["Mg", "Mn", "Fe", "Fe", "P"],
  "frac_coords": [[0.000, 0.000, 0.000], [0.000, 0.000, 0.500], [0.000, 0.500, 0.000], [0.500, 0.000, 0.000], [0.500, 0.500, 0.500]],
  "spacegroup": "P4/mmm",
  "delta_e_f_ev_per_atom": 1.64,
  "n_ef_per_ev_atom": 1.77
}

---

Entry 6:
{
  "formula": "FeHg",
  "functional": "PBE",
  "state": "relaxed",
  "lattice_angstrom": [[3.962, 0.000, 0.000], [-1.981, 3.431, 0.000], [0.000, 0.000, 10.519]],
  "species": ["Fe", "Fe", "Fe", "Fe", "Hg", "Hg", "Hg", "Hg"],
  "frac_coords": [[0.000, 0.000, 0.250], [0.000, 0.000, 0.750], [0.333, 0.667, 0.250], [0.667, 0.333, 0.750], [0.333, 0.667, 0.591], [0.333, 0.667, 0.909], [0.667, 0.333, 0.091], [0.667, 0.333, 0.409]],
  "spacegroup": "P6_3/mmc",
  "delta_e_f_ev_per_atom": 0.51,
  "n_ef_per_ev_atom": 0.40
}

---

Entry 7:
{
  "formula": "NpPRuPt",
  "functional": "PBE",
  "state": "relaxed",
  "lattice_angstrom": [[3.931, 0.000, 0.000], [0.000, 3.931, 0.000], [0.000, 0.000, 9.252]],
  "species": ["Np", "Np", "P", "P", "Ru", "Ru", "Pt", "Pt"],
  "frac_coords": [[0.250, 0.250, 0.221], [0.750, 0.750, 0.779], [0.250, 0.250, 0.636], [0.750, 0.750, 0.364], [0.250, 0.750, 0.500], [0.750, 0.250, 0.500], [0.250, 0.250, 0.903], [0.750, 0.750, 0.097]],
  "spacegroup": "P4/nmm",
  "delta_e_f_ev_per_atom": -0.67,
  "n_ef_per_ev_atom": 2.58
}

---

Entry 8:
{
  "formula": "U2PaNbC4",
  "functional": "PBE",
  "state": "relaxed",
  "lattice_angstrom": [[5.936, 0.000, 0.000], [0.000, 3.416, 0.000], [-2.000, 0.000, 5.679]],
  "species": ["U", "U", "Pa", "Nb", "C", "C", "C", "C"],
  "frac_coords": [[0.000, 0.000, 0.000], [0.000, 0.500, 0.500], [0.500, 0.000, 0.500], [0.500, 0.500, 0.000], [0.254, 0.500, 0.224], [0.259, 0.000, 0.767], [0.741, 0.000, 0.233], [0.746, 0.500, 0.776]],
  "spacegroup": "P2/m",
  "delta_e_f_ev_per_atom": -0.33,
  "n_ef_per_ev_atom": 0.97
}

---

Entry 9:
{
  "formula": "CaCo3N",
  "functional": "PBE",
  "state": "relaxed",
  "lattice_angstrom": [[3.926, 0.000, 0.000], [0.000, 3.926, 0.000], [0.000, 0.000, 3.926]],
  "species": ["Ca", "Co", "Co", "Co", "N"],
  "frac_coords": [[0.000, 0.000, 0.000], [0.000, 0.500, 0.500], [0.500, 0.000, 0.500], [0.500, 0.500, 0.000], [0.500, 0.500, 0.500]],
  "e_form_raw_ev_per_atom": 0.0639,
  "spacegroup": "Pm-3m",
  "n_ef_per_ev_atom": 0.89
}

---

Entry 10:
{
  "formula": "FeRuRh2",
  "functional": "PBE",
  "state": "relaxed",
  "lattice_angstrom": [[4.434, -1.350, 0.000], [4.434, 1.350, 0.000], [-0.868, 0.000, 4.569]],
  "species": ["Fe", "Ru", "Rh", "Rh"],
  "frac_coords": [[0.000, 0.000, 0.000], [0.747, 0.747, 0.257], [0.253, 0.253, 0.768], [0.497, 0.497, 0.492]],
  "spacegroup": "Cm",
  "delta_e_f_ev_per_atom": 0.03,
  "n_ef_per_ev_atom": 1.05
}

---

Entry 11:
{
  "formula": "P2RhClF",
  "functional": "PBE",
  "state": "relaxed",
  "lattice_angstrom": [[4.393, 0.000, 0.000], [0.000, 4.393, 0.000], [0.000, 0.000, 4.456]],
  "species": ["P", "P", "Rh", "Cl", "F"],
  "frac_coords": [[0.000, 0.500, 0.000], [0.500, 0.000, 0.000], [0.000, 0.000, 0.500], [0.500, 0.500, 0.500], [0.000, 0.000, 0.000]],
  "e_form_raw_ev_per_atom": 0.9546,
  "spacegroup": "P4/mmm",
  "n_ef_per_ev_atom": 1.05
}

---

Entry 12:
{
  "formula": "HoAlCo",
  "functional": "PBE",
  "state": "relaxed",
  "lattice_angstrom": [[6.434, 0.000, 0.000], [0.000, 6.434, 0.000], [0.000, 0.000, 5.963]],
  "species": ["Ho", "Ho", "Ho", "Ho", "Al", "Al", "Al", "Al", "Co", "Co", "Co", "Co"],
  "frac_coords": [[0.250, 0.250, 0.000], [0.250, 0.750, 0.250], [0.750, 0.250, 0.750], [0.750, 0.750, 0.500], [0.198, 0.198, 0.500], [0.302, 0.698, 0.750], [0.698, 0.302, 0.250], [0.802, 0.802, 0.000], [0.048, 0.952, 0.750], [0.452, 0.452, 0.500], [0.548, 0.548, 0.000], [0.952, 0.048, 0.250]],
  "spacegroup": "P4_12_12",
  "delta_e_f_ev_per_atom": -0.13,
  "n_ef_per_ev_atom": 0.81
}

---

Entry 13:
{
  "formula": "Cr",
  "functional": "PBE",
  "state": "relaxed",
  "lattice_angstrom": [[1.352, 0.780, 1.885], [-1.352, 0.780, 1.885], [0.000, -1.561, 1.885]],
  "species": ["Cr"],
  "frac_coords": [[0.000, 0.000, 0.000]],
  "spacegroup": "R-3m",
  "delta_e_f_ev_per_atom": 0.32,
  "n_ef_per_ev_atom": 1.03
}

---

Entry 14:
{
  "formula": "Ti2CuAsH",
  "functional": "PBE",
  "state": "relaxed",
  "lattice_angstrom": [[3.981, 0.000, 0.000], [0.000, 3.981, 0.000], [0.000, 0.000, 3.866]],
  "species": ["Ti", "Ti", "Cu", "As", "H"],
  "frac_coords": [[0.000, 0.500, 0.000], [0.500, 0.000, 0.000], [0.000, 0.000, 0.500], [0.500, 0.500, 0.500], [0.000, 0.000, 0.000]],
  "spacegroup": "P4/mmm",
  "total_energy_ha_per_atom": -0.2197,
  "n_ef_per_ev_atom": 0.44
}

---

Entry 15:
{
  "formula": "Tb3NdDy2Y6",
  "functional": "PBE",
  "state": "relaxed",
  "lattice_angstrom": [[3.095, -5.356, 0.000], [3.095, 5.356, 0.000], [-2.053, 0.000, 11.654]],
  "species": ["Tb", "Tb", "Tb", "Nd", "Dy", "Dy", "Y", "Y", "Y", "Y", "Y", "Y"],
  "frac_coords": [[0.000, 0.000, 0.000], [0.333, 0.667, 0.000], [0.667, 0.333, 0.000], [0.500, 0.500, 0.500], [0.167, 0.833, 0.500], [0.833, 0.167, 0.500], [0.082, 0.416, 0.249], [0.250, 0.250, 0.751], [0.416, 0.082, 0.249], [0.584, 0.918, 0.751], [0.750, 0.750, 0.249], [0.918, 0.584, 0.751]],
  "spacegroup": "C2/m",
  "delta_e_f_ev_per_atom": 0.02,
  "n_ef_per_ev_atom": 1.38
}

---

Entry 16:
{
  "formula": "LaPt3",
  "functional": "PBE",
  "state": "relaxed",
  "lattice_angstrom": [[5.440, 0.000, 0.000], [0.000, 5.440, 0.000], [0.000, 0.000, 5.440]],
  "species": ["La", "La", "Pt", "Pt", "Pt", "Pt", "Pt", "Pt"],
  "frac_coords": [[0.000, 0.000, 0.000], [0.500, 0.500, 0.500], [0.000, 0.250, 0.500], [0.000, 0.750, 0.500], [0.250, 0.500, 0.000], [0.500, 0.000, 0.250], [0.500, 0.000, 0.750], [0.750, 0.500, 0.000]],
  "spacegroup": "Pm-3n",
  "delta_e_f_ev_per_atom": -0.56,
  "n_ef_per_ev_atom": 0.64
}

---

Entry 17:
{
  "formula": "Nb3NiW",
  "functional": "PBE",
  "state": "relaxed",
  "lattice_angstrom": [[4.833, 0.000, 0.000], [0.000, 4.833, 0.000], [0.000, 0.000, 4.833]],
  "species": ["Nb", "Nb", "Nb", "Ni", "W"],
  "frac_coords": [[0.000, 0.000, 0.500], [0.000, 0.500, 0.000], [0.500, 0.000, 0.000], [0.500, 0.500, 0.500], [0.000, 0.000, 0.000]],
  "spacegroup": "Pm-3m",
  "delta_e_f_ev_per_atom": 1.64,
  "n_ef_per_ev_atom": 1.99
}

---

Entry 18:
{
  "formula": "KV2Au",
  "functional": "PBE",
  "state": "relaxed",
  "lattice_angstrom": [[-2.095, 2.095, 10.310], [2.095, -2.095, 10.310], [2.095, 2.095, -10.310]],
  "species": ["K", "K", "V", "V", "V", "V", "Au", "Au"],
  "frac_coords": [[0.000, 0.000, 0.000], [0.750, 0.250, 0.500], [0.280, 0.625, 0.155], [0.375, 0.530, 0.655], [0.470, 0.125, 0.845], [0.875, 0.720, 0.345], [0.250, 0.750, 0.500], [0.500, 0.500, 0.000]],
  "spacegroup": "I-42d",
  "delta_e_f_ev_per_atom": 1.03,
  "n_ef_per_ev_atom": 1.33
}

---

Entry 19:
{
  "formula": "TlMo3Cl",
  "functional": "PBE",
  "state": "relaxed",
  "lattice_angstrom": [[4.473, 0.000, 0.000], [0.000, 4.473, 0.000], [0.000, 0.000, 4.473]],
  "species": ["Tl", "Mo", "Mo", "Mo", "Cl"],
  "frac_coords": [[0.000, 0.000, 0.000], [0.000, 0.500, 0.500], [0.500, 0.000, 0.500], [0.500, 0.500, 0.000], [0.500, 0.500, 0.500]],
  "e_form_raw_ev_per_atom": 1.0464,
  "spacegroup": "Pm-3m",
  "n_ef_per_ev_atom": 0.60
}

---

Entry 20:
{
  "formula": "BaTeSe",
  "functional": "PBE",
  "state": "relaxed",
  "lattice_angstrom": [[0.000, 3.946, 3.946], [3.946, 0.000, 3.946], [3.946, 3.946, 0.000]],
  "species": ["Ba", "Te", "Se"],
  "frac_coords": [[0.000, 0.000, 0.000], [0.250, 0.250, 0.250], [0.750, 0.750, 0.750]],
  "e_form_raw_ev_per_atom": -0.7605,
  "spacegroup": "F-43m",
  "n_ef_per_ev_atom": 1.80
}

---

Entry 21:
{
  "formula": "BeZnTe2",
  "functional": "PBE",
  "state": "relaxed",
  "lattice_angstrom": [[0.000, 3.563, 3.563], [3.563, 0.000, 3.563], [3.563, 3.563, 0.000]],
  "species": ["Be", "Zn", "Te", "Te"],
  "frac_coords": [[0.000, 0.000, 0.000], [0.250, 0.250, 0.250], [0.500, 0.500, 0.500], [0.750, 0.750, 0.750]],
  "e_form_raw_ev_per_atom": 0.6797,
  "spacegroup": "F-43m",
  "n_ef_per_ev_atom": 0.48
}

---

Entry 22:
{
  "formula": "BaHfZn3",
  "functional": "PBE",
  "state": "relaxed",
  "lattice_angstrom": [[5.449, 0.000, 0.000], [0.000, 5.449, 0.000], [0.000, 0.000, 5.449]],
  "species": ["Ba", "Hf", "Zn", "Zn", "Zn"],
  "frac_coords": [[0.000, 0.000, 0.000], [0.500, 0.500, 0.500], [0.000, 0.000, 0.500], [0.000, 0.500, 0.000], [0.500, 0.000, 0.000]],
  "spacegroup": "Pm-3m",
  "delta_e_f_ev_per_atom": 1.48,
  "n_ef_per_ev_atom": 0.97
}

---

Entry 23:
{
  "formula": "Ce2InAs3Ir4",
  "functional": "PBE",
  "state": "relaxed",
  "lattice_angstrom": [[4.118, 0.000, 0.000], [0.000, 4.118, 0.000], [0.000, 0.000, 11.232]],
  "species": ["Ce", "Ce", "In", "As", "As", "As", "Ir", "Ir", "Ir", "Ir"],
  "frac_coords": [[0.000, 0.500, 0.239], [0.500, 0.000, 0.761], [0.000, 0.000, 0.500], [0.000, 0.500, 0.872], [0.500, 0.000, 0.128], [0.500, 0.500, 0.500], [0.000, 0.000, 0.000], [0.000, 0.500, 0.660], [0.500, 0.000, 0.340], [0.500, 0.500, 0.000]],
  "spacegroup": "P-4m2",
  "delta_e_f_ev_per_atom": -0.66,
  "n_ef_per_ev_atom": 0.70
}

---

Entry 24:
{
  "formula": "AlInNF2",
  "functional": "PBE",
  "state": "relaxed",
  "lattice_angstrom": [[3.815, 0.000, 0.000], [0.000, 3.815, 0.000], [0.000, 0.000, 4.042]],
  "species": ["Al", "In", "N", "F", "F"],
  "frac_coords": [[0.000, 0.000, 0.000], [0.500, 0.500, 0.500], [0.000, 0.000, 0.500], [0.000, 0.500, 0.000], [0.500, 0.000, 0.000]],
  "e_form_raw_ev_per_atom": -1.5419,
  "spacegroup": "P4/mmm",
  "n_ef_per_ev_atom": 0.04
}

---

Entry 25:
{
  "formula": "Rb2YI2",
  "functional": "PBE",
  "state": "relaxed",
  "lattice_angstrom": [[-3.112, 3.112, 7.726], [3.112, -3.112, 7.726], [3.112, 3.112, -7.726]],
  "species": ["Rb", "Rb", "Y", "I", "I"],
  "frac_coords": [[0.250, 0.750, 0.500], [0.750, 0.250, 0.500], [0.000, 0.000, 0.000], [0.364, 0.364, 0.000], [0.636, 0.636, 0.000]],
  "e_form_raw_ev_per_atom": -0.3097,
  "spacegroup": "I4/mmm",
  "n_ef_per_ev_atom": 0.04
}

---

Entry 26:
{
  "formula": "Re2RuRh",
  "functional": "PBE",
  "state": "relaxed",
  "lattice_angstrom": [[1.371, 0.791, 8.946], [-1.371, 0.791, 8.946], [0.000, -1.583, 8.946]],
  "species": ["Re", "Re", "Ru", "Rh"],
  "frac_coords": [[0.000, 0.000, 0.000], [0.248, 0.248, 0.248], [0.748, 0.748, 0.748], [0.499, 0.499, 0.499]],
  "spacegroup": "R3m",
  "delta_e_f_ev_per_atom": 0.02,
  "n_ef_per_ev_atom": 0.74
}